1.
VASP calculation (PBE-GGA) on a relaxed structure of V5AsRu6.

Computed properties:
ΔE_f: -3.23 eV/f.u.

Lattice parameters (Å, degrees): 7.286 7.286 7.286 147.13 127.41 63.41
Fractional coordinates of all 12 atoms:
1 V 0.000 0.000 0.000
2 V 0.147 0.647 0.500
3 V 0.316 0.316 0.000
4 V 0.684 0.684 0.000
5 V 0.853 0.353 0.500
6 As 0.500 0.000 0.500
7 Ru 0.096 0.832 0.264
8 Ru 0.274 0.500 0.774
9 Ru 0.431 0.168 0.264
10 Ru 0.569 0.832 0.736
11 Ru 0.726 0.500 0.226
12 Ru 0.904 0.168 0.736

2.
VASP calculation (PBE-GGA) on a relaxed structure of V2As2Ru.

Computed properties:
Excess energy over the best structure of this formula in the dataset: 2.62 eV/f.u.
ΔE_f: 1.72 eV/f.u.

Lattice parameters (Å, degrees): 6.728 6.728 6.728 149.22 149.22 44.08
Fractional coordinates of all 5 atoms:
1 V 0.096 0.096 0.000
2 V 0.904 0.904 0.000
3 As 0.250 0.750 0.500
4 As 0.750 0.250 0.500
5 Ru 0.500 0.500 0.000

3.
VASP calculation (PBE-GGA) on a relaxed structure of V2As2Ru.

Computed properties:
Excess energy over the best structure of this formula in the dataset: 0.00 eV/f.u.
ΔE_f: -0.90 eV/f.u.

Lattice parameters (Å, degrees): 6.750 6.750 3.197 90.00 90.00 90.00
Fractional coordinates of all 10 atoms:
1 V 0.137 0.363 0.000
2 V 0.363 0.863 0.000
3 V 0.637 0.137 0.000
4 V 0.863 0.637 0.000
5 As 0.158 0.658 0.500
6 As 0.342 0.158 0.500
7 As 0.658 0.842 0.500
8 As 0.842 0.342 0.500
9 Ru 0.000 0.000 0.500
10 Ru 0.500 0.500 0.500

Copy entry 3 word for word.
VASP calculation (PBE-GGA) on a relaxed structure of V2As2Ru.

Computed properties:
Excess energy over the best structure of this formula in the dataset: 0.00 eV/f.u.
ΔE_f: -0.90 eV/f.u.

Lattice parameters (Å, degrees): 6.750 6.750 3.197 90.00 90.00 90.00
Fractional coordinates of all 10 atoms:
1 V 0.137 0.363 0.000
2 V 0.363 0.863 0.000
3 V 0.637 0.137 0.000
4 V 0.863 0.637 0.000
5 As 0.158 0.658 0.500
6 As 0.342 0.158 0.500
7 As 0.658 0.842 0.500
8 As 0.842 0.342 0.500
9 Ru 0.000 0.000 0.500
10 Ru 0.500 0.500 0.500

Question: Which of these has the lowest ΔE_f?
Answer: V5AsRu6

Repeat the first record exactly.
VASP calculation (PBE-GGA) on a relaxed structure of V5AsRu6.

Computed properties:
ΔE_f: -3.23 eV/f.u.

Lattice parameters (Å, degrees): 7.286 7.286 7.286 147.13 127.41 63.41
Fractional coordinates of all 12 atoms:
1 V 0.000 0.000 0.000
2 V 0.147 0.647 0.500
3 V 0.316 0.316 0.000
4 V 0.684 0.684 0.000
5 V 0.853 0.353 0.500
6 As 0.500 0.000 0.500
7 Ru 0.096 0.832 0.264
8 Ru 0.274 0.500 0.774
9 Ru 0.431 0.168 0.264
10 Ru 0.569 0.832 0.736
11 Ru 0.726 0.500 0.226
12 Ru 0.904 0.168 0.736